[1]
VASP calculation (GGA-PBE) on a relaxed La3TbSc crystal.

The structure in POSCAR format:
```
La3TbSc
1.0
6.542 0.523 0.650
0.996 10.012 1.703
0.996 -0.472 10.145
Sc La Tb
4 12 4
Cartesian
3.596 4.819 4.424 Sc
6.867 3.556 5.976 Sc
1.668 6.507 6.521 Sc
4.939 5.245 8.073 Sc
5.875 0.317 4.540 La
4.892 7.676 5.930 La
2.640 1.476 3.094 La
5.931 5.957 11.545 La
3.643 2.387 6.568 La
2.623 7.093 10.070 La
5.912 2.970 2.427 La
6.914 6.169 4.058 La
1.621 3.894 8.439 La
2.660 9.747 7.957 La
2.604 4.106 0.953 La
5.894 8.587 9.403 La
2.632 0.361 9.741 Tb
2.632 8.115 3.498 Tb
5.903 9.702 2.756 Tb
5.903 1.948 9.000 Tb
```

Computed properties:
SG: C2/c (15)
Uncorrected energy (eV/atom): -5.066

=====

[2]
VASP calculation (GGA-PBE) on a relaxed Ho4TcGe8 crystal.

The structure in POSCAR format:
```
Ho4TcGe8
1.0
-0.646 -3.489 -1.878
1.344 -2.071 3.386
-14.928 -0.319 5.732
Ge Ho Tc
8 4 1
Cartesian
-13.351 -1.336 7.077 Ge
-3.696 -1.817 0.356 Ge
-11.203 -0.240 4.301 Ge
-2.753 -1.109 3.008 Ge
-0.388 -2.796 1.037 Ge
-10.937 -3.021 5.087 Ge
-8.848 -1.927 2.334 Ge
-6.953 -0.149 2.670 Ge
-1.388 -0.030 0.533 Ho
-5.704 -2.909 3.078 Ho
-13.690 -2.030 4.193 Ho
-8.452 -1.231 5.196 Ho
-4.637 -0.099 1.780 Tc
```

Computed properties:
SG: Pmm2 (25)
Uncorrected energy (eV/atom): -5.586